Entry from Alexandria via LeMat-Bulk: a relaxed structure of GaAgCl2 (PBE).

a b c (Å): 4.994 4.994 4.994
angles (deg): 60.00 60.00 60.00
Element x y z (fractional)
Cl 0.750 0.750 0.750
Cl 0.250 0.250 0.250
Ga 0.000 0.000 0.000
Ag 0.500 0.500 0.500

Values from the calculation:
N(E_F): 0.00 states/eV/cell
Volume: 88.07 Å³/f.u.
ΔE to the lowest computed polymorph: 0.109 eV per atom
Raw formation energy: -423 meV per atom

---

Entry from Alexandria via LeMat-Bulk: a relaxed structure of Si5Sb (PBE).

a b c (Å): 7.332 7.332 4.135
angles (deg): 90.00 90.00 151.33
Element x y z (fractional)
Si 0.678 0.322 0.000
Si 0.785 0.215 0.500
Si 0.301 0.699 0.000
Si 0.409 0.591 0.500
Si 0.151 0.849 0.500
Sb 0.009 0.991 0.000

Values from the calculation:
N(E_F): 2.54 states/eV/cell
Volume: 106.65 Å³/f.u.
ΔE to the lowest computed polymorph: 0.000 eV per atom
Raw formation energy: 479 meV per atom

---

Entry from Alexandria via LeMat-Bulk: a relaxed structure of SrLa2PaP4 (PBE).

a b c (Å): 4.204 7.265 7.286
angles (deg): 70.75 90.00 90.00
Element x y z (fractional)
P 0.000 0.259 0.272
P 0.500 0.266 0.729
P 0.000 0.741 0.728
P 0.500 0.734 0.271
Pa 0.000 0.500 0.500
La 0.500 0.000 0.500
La 0.000 0.000 0.000
Sr 0.500 0.500 0.000

Values from the calculation:
N(E_F): 3.47 states/eV/cell
Volume: 210.08 Å³/f.u.
Formation energy: -1374 meV/atom